A plane-wave DFT calculation with PBE-GGA was carried out for a relaxed structure of Ba3Sm3ErTe8.

a = 9.0966 Å, b = 9.0922 Å, c = 9.5918 Å
α = 118.26°, β = 90.01°, γ = 119.99°
Last column: nearest neighbours and their distance in Å.
Positions (direct):
Ba  0.0000  0.0000  0.0000  6 Te 3.45-3.46
Ba  0.0000  0.5000  0.0000  6 Te 3.45-3.46
Ba  0.5000  0.5000  0.0000  6 Te 3.45-3.46
Sm  0.5000  0.0000  0.5000  6 Te 3.16-3.17
Sm  0.5000  0.5000  0.5000  6 Te 3.16-3.17
Sm  0.0000  0.5000  0.5000  6 Te 3.16-3.17
Er  0.0000  0.0000  0.5000  6 Te 3.13
Te  0.2594  0.5188  0.2782  3 Sm 3.17, 3 Ba 3.45
Te  0.7406  0.4812  0.7218  3 Sm 3.17, 3 Ba 3.45
Te  0.7630  0.5259  0.2834  1 Er 3.13, 2 Sm 3.16, 2 Ba 3.46
Te  0.2370  0.4741  0.7166  1 Er 3.13, 2 Sm 3.16, 2 Ba 3.46
Te  0.7628  0.0205  0.2832  1 Er 3.13, 2 Sm 3.16, 2 Ba 3.46
Te  0.2372  0.9795  0.7168  1 Er 3.13, 2 Sm 3.16, 2 Ba 3.46
Te  0.2575  0.0204  0.2833  1 Er 3.13, 2 Sm 3.16, 2 Ba 3.46
Te  0.7425  0.9796  0.7167  1 Er 3.13, 2 Sm 3.16, 2 Ba 3.46

Density of states at the Fermi level (states/eV/cell): 4.1
Space-group type: C2/m (12)

A plane-wave DFT calculation with PBE-GGA was carried out for a relaxed structure of BaErSn2.

a = 5.0542 Å, b = 5.0542 Å, c = 7.0615 Å
α = 69.03°, β = 69.03°, γ = 60.00°
Last column: nearest neighbours and their distance in Å.
Positions (direct):
Ba  0.5000  0.5000  0.5000  6 Sn 3.60
Sn  0.2760  0.2760  0.1719  3 Er 3.12
Sn  0.7240  0.7240  0.8281  3 Er 3.12
Er  0.0000  0.0000  0.0000  6 Sn 3.12

Density of states at the Fermi level (states/eV/cell): 4.5
Space-group type: R-3m (166)
Calculated formation energy (eV/atom): -0.46
E above lowest polymorph (eV/f.u.): 0.57

A plane-wave DFT calculation with PBE-GGA was carried out for a relaxed structure of BaErSn2.

a = 4.0898 Å, b = 4.0898 Å, c = 7.6059 Å
α = 90.00°, β = 90.00°, γ = 90.00°
Last column: nearest neighbours and their distance in Å.
Positions (direct):
Ba  0.5000  0.5000  0.5000  8 Sn 3.70, 2 Er 3.80, 4 Ba 4.09
Sn  0.0000  0.0000  0.8031  1 Sn 2.99, 4 Er 3.26
Sn  0.0000  0.0000  0.1969  1 Sn 2.99, 4 Er 3.26
Er  0.5000  0.5000  0.0000  8 Sn 3.26

Density of states at the Fermi level (states/eV/cell): 2.0
Space-group type: P4/mmm (123)
Calculated formation energy (eV/atom): -0.61
E above lowest polymorph (eV/f.u.): 0.00

no.,magnetic moment (μB per formula unit),E_tot (eV per cell)
1,0.00,-72.9
2,0.00,-16.3
3,0.00,-16.9